The following is a DFT calculation (GGA-PBE) of crystalline Ba4CeRu3O12 at its relaxed geometry.

Values from the calculation:
SG: C2/m
Crystal system: monoclinic
Energy: -7.176 eV per atom
E_form (uncorrected): -2.13 eV per atom

```
20
Lattice="5.164 -2.979 0.000 5.164 2.979 0.000 -3.898 0.000 9.915" Properties=species:S:1:pos:R:3 pbc="T T T"
Ba -0.183 0.000 3.872
Ba -0.453 0.000 8.441
Ba 6.882 0.000 1.474
Ba 6.612 0.000 6.043
Ce 0.000 0.000 0.000
Ru 3.448 0.000 2.404
Ru 3.215 0.000 4.957
Ru 2.981 0.000 7.511
O 2.529 1.375 3.619
O 1.968 0.000 1.075
O 4.400 1.426 1.398
O 2.029 1.426 8.517
O 1.519 0.000 6.075
O 3.900 1.375 6.296
O 2.529 -1.375 3.619
O 4.910 0.000 3.840
O 4.400 -1.426 1.398
O 2.029 -1.426 8.517
O 4.461 0.000 8.840
O 3.900 -1.375 6.296
```